No. 1
Here is CaCrNi2 after structural relaxation from Alexandria via LeMat-Bulk. Energies are from PBE-GGA.

a b c (Å): 4.503 4.503 3.036
angles (deg): 90.00 90.00 90.13
Fractional positions:
1 Ca 0.000 0.000 0.000
2 Cr 0.500 0.500 0.000
3 Ni 0.000 0.500 0.500
4 Ni 0.500 0.000 0.500

Results
Its energy of formation is 110.1 kJ/mol of formula units. The space-group type is Cmmm (65).



No. 2
Here is CaCrNiP2 after structural relaxation from Alexandria via LeMat-Bulk. Energies are from PBE-GGA.

a b c (Å): 5.993 5.993 5.993
angles (deg): 142.67 142.67 53.82
Fractional positions:
1 Ca 0.000 0.000 0.000
2 Cr 0.750 0.250 0.500
3 Ni 0.250 0.750 0.500
4 P 0.361 0.361 0.000
5 P 0.639 0.639 0.000

Results
Its energy of formation is -370.2 kJ/mol of formula units. The space-group type is I-4m2 (119).



No. 3
Here is Ca2CrReNi after structural relaxation from Alexandria via LeMat-Bulk. Energies are from PBE-GGA.

a b c (Å): 5.407 5.407 4.300
angles (deg): 90.00 90.00 90.00
Fractional positions:
1 Ca 0.000 0.500 0.000
2 Ca 0.500 0.000 0.000
3 Cr 0.000 0.000 0.000
4 Re 0.000 0.000 0.500
5 Ni 0.500 0.500 0.500

Results
Its energy of formation is 610.2 kJ/mol of formula units. The space-group type is P4/mmm (123).



No. 4
Here is Ca2CrReNi after structural relaxation from Alexandria via LeMat-Bulk. Energies are from PBE-GGA.

a b c (Å): 5.189 5.189 4.485
angles (deg): 90.00 90.00 90.00
Fractional positions:
1 Ca 0.000 0.500 0.000
2 Ca 0.500 0.000 0.000
3 Cr 0.000 0.000 0.500
4 Re 0.500 0.500 0.500
5 Ni 0.000 0.000 0.000

Results
Its energy of formation is 596.0 kJ/mol of formula units. The space-group type is P4/mmm (123).